Density functional theory data (PBE) for an optimized crystal structure of Ho5Tm3Th.

Cell lengths 9.623, 9.623, 6.906 Å; angles 90.00, 90.00, 120.00 degrees
Sites, in units of the cell vectors:
1 Ho 0.000 0.334 0.250
2 Ho 0.000 0.666 0.750
3 Ho 0.333 0.667 0.000
4 Ho 0.333 0.667 0.500
5 Ho 0.334 0.000 0.250
6 Ho 0.334 0.334 0.750
7 Ho 0.666 0.000 0.750
8 Ho 0.666 0.666 0.250
9 Ho 0.667 0.333 0.000
10 Ho 0.667 0.333 0.500
11 Tm 0.000 0.332 0.750
12 Tm 0.000 0.668 0.250
13 Tm 0.332 0.000 0.750
14 Tm 0.332 0.332 0.250
15 Tm 0.668 0.000 0.250
16 Tm 0.668 0.668 0.750
17 Th 0.000 0.000 0.000
18 Th 0.000 0.000 0.500

Computed properties:
Space group = No. 193
Final energy = -4.7913 eV per atom
ΔH_f (0 K) = 67 meV per atom